First-principles (GGA-PBE) data for SiTcP after structural relaxation, as listed in the Alexandria database.

Output
The calculation puts the total magnetization at 0.000 μB per atom. Its symmetry is F-43m (216). As for the crystal system: cubic. Its formation energy (no corrections) is 0.2 eV/f.u.

Cell lengths 4.056, 4.056, 4.056 Å; angles 60.00, 60.00, 60.00 degrees
Fractional positions:
Si: 0.000 0.000 0.000
Tc: 0.250 0.250 0.250
P: 0.500 0.500 0.500